DFT (PBE) results for a relaxed Dy2Y7Ho3 crystal.

Values from the calculation:
The energy relative to the elements comes out at 106 kJ/mol of formula units. The symmetry is No. 10. The value obtained for the theoretical density is 6.22 g/cm3.

Lattice parameters (Å, degrees): 5.785 3.577 18.652 90.00 93.58 90.00
Element x y z (fractional)
Dy: 0.206 0.000 0.295
Dy: 0.794 0.000 0.705
Y: 0.181 0.500 0.144
Y: 0.242 0.000 0.463
Y: 0.315 0.000 0.820
Y: 0.500 0.500 0.000
Y: 0.685 0.000 0.180
Y: 0.758 0.000 0.537
Y: 0.819 0.500 0.856
Ho: 0.000 0.000 0.000
Ho: 0.281 0.500 0.633
Ho: 0.719 0.500 0.367

***

DFT (PBE) results for a relaxed Dy3Y4Ho5 crystal.

Values from the calculation:
The energy relative to the elements comes out at 277 kJ/mol of formula units. The symmetry is No. 12. The value obtained for the theoretical density is 7.14 g/cm3.

Lattice parameters (Å, degrees): 8.509 8.509 9.269 114.95 114.95 40.32
Element x y z (fractional)
Dy: 0.000 0.000 0.000
Dy: 0.290 0.290 0.767
Dy: 0.710 0.710 0.233
Y: 0.287 0.287 0.121
Y: 0.420 0.420 0.561
Y: 0.580 0.580 0.439
Y: 0.713 0.713 0.879
Ho: 0.074 0.074 0.700
Ho: 0.173 0.173 0.386
Ho: 0.500 0.500 0.000
Ho: 0.827 0.827 0.614
Ho: 0.926 0.926 0.300

***

DFT (PBE) results for a relaxed DyY7Ho2 crystal.

Values from the calculation:
The energy relative to the elements comes out at 207 kJ/mol of formula units. The symmetry is No. 65. The value obtained for the theoretical density is 5.67 g/cm3.

Lattice parameters (Å, degrees): 14.989 14.989 3.463 90.00 90.00 155.17
Element x y z (fractional)
Dy: 0.000 0.000 0.000
Y: 0.143 0.342 0.500
Y: 0.311 0.689 0.000
Y: 0.342 0.143 0.500
Y: 0.500 0.500 0.500
Y: 0.658 0.857 0.500
Y: 0.689 0.311 0.000
Y: 0.857 0.658 0.500
Ho: 0.208 0.792 0.500
Ho: 0.792 0.208 0.500

***

DFT (PBE) results for a relaxed DyY4Ho15 crystal.

Values from the calculation:
The energy relative to the elements comes out at 42 kJ/mol of formula units. The symmetry is No. 123. The value obtained for the theoretical density is 7.95 g/cm3.

Lattice parameters (Å, degrees): 5.000 5.000 24.993 90.00 90.00 90.00
Element x y z (fractional)
Dy: 0.000 0.000 0.000
Y: 0.000 0.000 0.200
Y: 0.000 0.000 0.400
Y: 0.000 0.000 0.600
Y: 0.000 0.000 0.800
Ho: 0.000 0.500 0.100
Ho: 0.000 0.500 0.300
Ho: 0.000 0.500 0.500
Ho: 0.000 0.500 0.700
Ho: 0.000 0.500 0.900
Ho: 0.500 0.000 0.100
Ho: 0.500 0.000 0.300
Ho: 0.500 0.000 0.500
Ho: 0.500 0.000 0.700
Ho: 0.500 0.000 0.900
Ho: 0.500 0.500 0.000
Ho: 0.500 0.500 0.200
Ho: 0.500 0.500 0.400
Ho: 0.500 0.500 0.600
Ho: 0.500 0.500 0.800

***

DFT (PBE) results for a relaxed Dy3Y5Ho4 crystal.

Values from the calculation:
The energy relative to the elements comes out at 26 kJ/mol of formula units. The symmetry is No. 2. The value obtained for the theoretical density is 6.98 g/cm3.

Lattice parameters (Å, degrees): 6.145 7.100 8.683 90.00 89.90 89.89
Element x y z (fractional)
Dy: 0.000 0.000 0.000
Dy: 0.166 0.251 0.333
Dy: 0.834 0.749 0.667
Y: 0.000 0.500 0.000
Y: 0.332 0.000 0.666
Y: 0.500 0.250 0.000
Y: 0.500 0.750 0.000
Y: 0.668 0.000 0.334
Ho: 0.166 0.749 0.333
Ho: 0.334 0.500 0.665
Ho: 0.666 0.500 0.335
Ho: 0.834 0.251 0.667

***

DFT (PBE) results for a relaxed DyY5Ho5 crystal.

Values from the calculation:
The energy relative to the elements comes out at 301 kJ/mol of formula units. The symmetry is No. 12. The value obtained for the theoretical density is 6.62 g/cm3.

Lattice parameters (Å, degrees): 9.876 9.876 6.930 110.46 110.46 34.83
Element x y z (fractional)
Dy: 0.000 0.000 0.000
Y: 0.179 0.179 0.425
Y: 0.179 0.179 0.933
Y: 0.500 0.500 0.000
Y: 0.821 0.821 0.067
Y: 0.821 0.821 0.575
Ho: 0.000 0.000 0.500
Ho: 0.331 0.331 0.831
Ho: 0.377 0.377 0.376
Ho: 0.623 0.623 0.624
Ho: 0.669 0.669 0.169

***

DFT (PBE) results for a relaxed DyY2Ho crystal.

Values from the calculation:
The energy relative to the elements comes out at 9 kJ/mol of formula units. The symmetry is No. 166. The value obtained for the theoretical density is 6.62 g/cm3.

Lattice parameters (Å, degrees): 11.763 11.763 11.763 17.38 17.38 17.38
Element x y z (fractional)
Dy: 0.000 0.000 0.000
Y: 0.250 0.250 0.250
Y: 0.750 0.750 0.750
Ho: 0.500 0.500 0.500

***

DFT (PBE) results for a relaxed Dy3Y2Ho13 crystal.

Values from the calculation:
The energy relative to the elements comes out at 568 kJ/mol of formula units. The symmetry is No. 191. The value obtained for the theoretical density is 7.67 g/cm3.

Lattice parameters (Å, degrees): 6.433 6.433 16.976 90.00 90.00 120.00
Element x y z (fractional)
Dy: 0.000 0.000 0.000
Dy: 0.000 0.000 0.334
Dy: 0.000 0.000 0.666
Y: 0.333 0.667 0.000
Y: 0.667 0.333 0.000
Ho: 0.000 0.500 0.168
Ho: 0.000 0.500 0.500
Ho: 0.000 0.500 0.832
Ho: 0.333 0.667 0.334
Ho: 0.333 0.667 0.666
Ho: 0.500 0.000 0.168
Ho: 0.500 0.000 0.500
Ho: 0.500 0.000 0.832
Ho: 0.500 0.500 0.168
Ho: 0.500 0.500 0.500
Ho: 0.500 0.500 0.832
Ho: 0.667 0.333 0.334
Ho: 0.667 0.333 0.666

***

DFT (PBE) results for a relaxed Dy2Y3Ho2 crystal.

Values from the calculation:
The energy relative to the elements comes out at 81 kJ/mol of formula units. The symmetry is No. 12. The value obtained for the theoretical density is 6.77 g/cm3.

Lattice parameters (Å, degrees): 8.862 8.862 8.552 118.75 118.75 22.72
Element x y z (fractional)
Dy: 0.146 0.146 0.322
Dy: 0.854 0.854 0.678
Y: 0.000 0.000 0.500
Y: 0.212 0.212 0.802
Y: 0.788 0.788 0.198
Ho: 0.435 0.435 0.092
Ho: 0.565 0.565 0.908

***

DFT (PBE) results for a relaxed Dy2Y7Ho3 crystal.

Values from the calculation:
The energy relative to the elements comes out at 94 kJ/mol of formula units. The symmetry is No. 10. The value obtained for the theoretical density is 6.21 g/cm3.

Lattice parameters (Å, degrees): 6.329 3.513 17.431 90.00 96.08 90.00
Element x y z (fractional)
Dy: 0.061 0.000 0.173
Dy: 0.939 0.000 0.827
Y: 0.000 0.500 0.500
Y: 0.225 0.000 0.669
Y: 0.255 0.000 0.998
Y: 0.275 0.500 0.334
Y: 0.725 0.500 0.666
Y: 0.745 0.000 0.002
Y: 0.775 0.000 0.331
Ho: 0.450 0.500 0.842
Ho: 0.500 0.000 0.500
Ho: 0.550 0.500 0.158

***

DFT (PBE) results for a relaxed Dy5Y4Ho2 crystal.

Values from the calculation:
The energy relative to the elements comes out at 134 kJ/mol of formula units. The symmetry is No. 12. The value obtained for the theoretical density is 7.02 g/cm3.

Lattice parameters (Å, degrees): 6.613 6.613 9.250 104.56 104.56 66.82
Element x y z (fractional)
Dy: 0.000 0.000 0.000
Dy: 0.211 0.655 0.721
Dy: 0.345 0.789 0.279
Dy: 0.655 0.211 0.721
Dy: 0.789 0.345 0.279
Y: 0.317 0.317 0.999
Y: 0.329 0.329 0.377
Y: 0.671 0.671 0.623
Y: 0.683 0.683 0.001
Ho: 0.146 0.146 0.620
Ho: 0.854 0.854 0.380

***

DFT (PBE) results for a relaxed Dy6Y8Ho crystal.

Values from the calculation:
The energy relative to the elements comes out at 187 kJ/mol of formula units. The symmetry is No. 148. The value obtained for the theoretical density is 6.30 g/cm3.

Lattice parameters (Å, degrees): 8.644 8.644 8.644 63.07 63.07 63.07
Element x y z (fractional)
Dy: 0.041 0.726 0.611
Dy: 0.274 0.389 0.959
Dy: 0.389 0.959 0.274
Dy: 0.611 0.041 0.726
Dy: 0.726 0.611 0.041
Dy: 0.959 0.274 0.389
Y: 0.077 0.077 0.077
Y: 0.221 0.244 0.610
Y: 0.244 0.610 0.221
Y: 0.390 0.779 0.756
Y: 0.610 0.221 0.244
Y: 0.756 0.390 0.779
Y: 0.779 0.756 0.390
Y: 0.923 0.923 0.923
Ho: 0.500 0.500 0.500